[1]
# PBE-GGA Ac2Pm2Se5, relaxed
# Space group: Ima2 (46)
# Raw formation energy (eV/atom): -1.6890
# ρ (g/cm3): 6.3
# N(E_F) (states/eV/f.u.): 5.0
# Magnetization (μB per formula unit): 0.0
data_Ac2Pm2Se5
_symmetry_space_group_name_H-M 'P 1'
_symmetry_Int_Tables_number 1
_cell_length_a 11.017
_cell_length_b 11.017
_cell_length_c 11.017
_cell_angle_alpha 61.92
_cell_angle_beta 134.42
_cell_angle_gamma 140.42
loop_
_symmetry_equiv_pos_as_xyz
'x,y,z'
loop_
_atom_site_label
_atom_site_fract_x
_atom_site_fract_y
_atom_site_fract_z
Ac1 0.063 0.098 0.161
Ac2 0.063 0.402 0.465
Ac3 0.937 0.598 0.535
Ac4 0.937 0.902 0.839
Pm1 0.372 0.726 0.146
Pm2 0.527 0.027 0.500
Pm3 0.527 0.527 0.000
Pm4 0.580 0.226 0.854
Se1 0.020 0.344 0.176
Se2 0.025 0.271 0.811
Se3 0.025 0.714 0.254
Se4 0.169 0.844 0.824
Se5 0.460 0.214 0.189
Se6 0.460 0.771 0.746
Se7 0.499 0.248 0.542
Se8 0.499 0.456 0.751
Se9 0.705 0.748 0.249
Se10 0.705 0.956 0.458

***

[2]
# PBE-GGA Np3Sb5Te12, relaxed
# Space group: Ia-3d (230)
# Raw formation energy (eV/atom): -0.1584
# ρ (g/cm3): 6.3
# N(E_F) (states/eV/f.u.): 22.4
# Magnetization (μB per formula unit): 12.1
data_Np3Sb5Te12
_symmetry_space_group_name_H-M 'P 1'
_symmetry_Int_Tables_number 1
_cell_length_a 15.738
_cell_length_b 15.738
_cell_length_c 15.738
_cell_angle_alpha 109.47
_cell_angle_beta 109.47
_cell_angle_gamma 109.47
loop_
_symmetry_equiv_pos_as_xyz
'x,y,z'
loop_
_atom_site_label
_atom_site_fract_x
_atom_site_fract_y
_atom_site_fract_z
Np1 0.125 0.250 0.375
Np2 0.125 0.375 0.750
Np3 0.250 0.375 0.125
Np4 0.250 0.875 0.625
Np5 0.375 0.125 0.250
Np6 0.375 0.750 0.125
Np7 0.625 0.250 0.875
Np8 0.625 0.875 0.750
Np9 0.750 0.125 0.375
Np10 0.750 0.625 0.875
Np11 0.875 0.625 0.250
Np12 0.875 0.750 0.625
Sb1 0.000 0.000 0.000
Sb2 0.000 0.000 0.500
Sb3 0.000 0.500 0.000
Sb4 0.000 0.500 0.500
Sb5 0.125 0.750 0.875
Sb6 0.125 0.875 0.250
Sb7 0.250 0.125 0.875
Sb8 0.250 0.625 0.375
Sb9 0.375 0.250 0.625
Sb10 0.375 0.625 0.750
Sb11 0.500 0.000 0.000
Sb12 0.500 0.000 0.500
Sb13 0.500 0.500 0.000
Sb14 0.500 0.500 0.500
Sb15 0.625 0.375 0.250
Sb16 0.625 0.750 0.375
Sb17 0.750 0.375 0.625
Sb18 0.750 0.875 0.125
Sb19 0.875 0.125 0.750
Sb20 0.875 0.250 0.125
Te1 0.055 0.222 0.140
Te2 0.055 0.333 0.915
Te3 0.082 0.722 0.667
Te4 0.082 0.860 0.415
Te5 0.085 0.640 0.418
Te6 0.085 0.945 0.667
Te7 0.140 0.055 0.222
Te8 0.140 0.585 0.918
Te9 0.167 0.222 0.582
Te10 0.167 0.445 0.585
Te11 0.222 0.140 0.055
Te12 0.222 0.582 0.167
Te13 0.278 0.333 0.918
Te14 0.278 0.445 0.360
Te15 0.333 0.915 0.055
Te16 0.333 0.918 0.278
Te17 0.360 0.278 0.445
Te18 0.360 0.582 0.915
Te19 0.415 0.082 0.860
Te20 0.415 0.833 0.555
Te21 0.418 0.085 0.640
Te22 0.418 0.833 0.778
Te23 0.445 0.360 0.278
Te24 0.445 0.585 0.167
Te25 0.555 0.415 0.833
Te26 0.555 0.640 0.722
Te27 0.582 0.167 0.222
Te28 0.582 0.915 0.360
Te29 0.585 0.167 0.445
Te30 0.585 0.918 0.140
Te31 0.640 0.418 0.085
Te32 0.640 0.722 0.555
Te33 0.667 0.082 0.722
Te34 0.667 0.085 0.945
Te35 0.722 0.555 0.640
Te36 0.722 0.667 0.082
Te37 0.778 0.418 0.833
Te38 0.778 0.860 0.945
Te39 0.833 0.555 0.415
Te40 0.833 0.778 0.418
Te41 0.860 0.415 0.082
Te42 0.860 0.945 0.778
Te43 0.915 0.055 0.333
Te44 0.915 0.360 0.582
Te45 0.918 0.140 0.585
Te46 0.918 0.278 0.333
Te47 0.945 0.667 0.085
Te48 0.945 0.778 0.860

***

[3]
# PBE-GGA DyScBeOs, relaxed
# Space group: F-43m (216)
# ρ (g/cm3): 9.3
# N(E_F) (states/eV/f.u.): 3.3
# Formation energy from the elements (eV per atom): -0.14
# Magnetization (μB per formula unit): 0.0
data_DyScBeOs
_symmetry_space_group_name_H-M 'P 1'
_symmetry_Int_Tables_number 1
_cell_length_a 6.625
_cell_length_b 6.625
_cell_length_c 6.625
_cell_angle_alpha 90.00
_cell_angle_beta 90.00
_cell_angle_gamma 90.00
loop_
_symmetry_equiv_pos_as_xyz
'x,y,z'
loop_
_atom_site_label
_atom_site_fract_x
_atom_site_fract_y
_atom_site_fract_z
Dy1 0.000 0.000 0.000
Dy2 0.000 0.500 0.500
Dy3 0.500 0.000 0.500
Dy4 0.500 0.500 0.000
Sc1 0.000 0.000 0.500
Sc2 0.000 0.500 0.000
Sc3 0.500 0.000 0.000
Sc4 0.500 0.500 0.500
Be1 0.250 0.250 0.250
Be2 0.250 0.750 0.750
Be3 0.750 0.250 0.750
Be4 0.750 0.750 0.250
Os1 0.250 0.250 0.750
Os2 0.250 0.750 0.250
Os3 0.750 0.250 0.250
Os4 0.750 0.750 0.750

***

[4]
# PBE-GGA CaPr2Co2, relaxed
# Space group: C2/m (12)
# ρ (g/cm3): 5.7
# N(E_F) (states/eV/f.u.): 5.5
# Formation energy from the elements (eV per atom): 0.11
# Magnetization (μB per formula unit): 1.1
data_CaPr2Co2
_symmetry_space_group_name_H-M 'P 1'
_symmetry_Int_Tables_number 1
_cell_length_a 12.374
_cell_length_b 3.951
_cell_length_c 5.290
_cell_angle_alpha 90.00
_cell_angle_beta 97.88
_cell_angle_gamma 90.00
loop_
_symmetry_equiv_pos_as_xyz
'x,y,z'
loop_
_atom_site_label
_atom_site_fract_x
_atom_site_fract_y
_atom_site_fract_z
Ca1 0.000 0.000 0.000
Ca2 0.500 0.500 0.000
Pr1 0.140 0.500 0.551
Pr2 0.360 0.000 0.449
Pr3 0.640 0.000 0.551
Pr4 0.860 0.500 0.449
Co1 0.236 0.500 0.086
Co2 0.264 0.000 0.914
Co3 0.736 0.000 0.086
Co4 0.764 0.500 0.914

***

[5]
# PBE-GGA CoH3Au, relaxed
# ΔE to the lowest computed polymorph (kcal/mol of atoms): 0.00
# Space group: Pm-3m (221)
# ρ (g/cm3): 11.6
# N(E_F) (states/eV/f.u.): 2.2
# Magnetization (μB per formula unit): 0.0
data_CoH3Au
_symmetry_space_group_name_H-M 'P 1'
_symmetry_Int_Tables_number 1
_cell_length_a 3.339
_cell_length_b 3.339
_cell_length_c 3.339
_cell_angle_alpha 90.00
_cell_angle_beta 90.00
_cell_angle_gamma 90.00
loop_
_symmetry_equiv_pos_as_xyz
'x,y,z'
loop_
_atom_site_label
_atom_site_fract_x
_atom_site_fract_y
_atom_site_fract_z
Co1 0.000 0.000 0.000
H1 0.000 0.000 0.500
H2 0.000 0.500 0.000
H3 0.500 0.000 0.000
Au1 0.500 0.500 0.500

***

[6]
# PBE-GGA LiPPb2, relaxed
# Space group: Pm (6)
# ρ (g/cm3): 7.8
# N(E_F) (states/eV/f.u.): 1.1
# Formation energy from the elements (eV per atom): -0.08
# Magnetization (μB per formula unit): 0.0
data_LiPPb2
_symmetry_space_group_name_H-M 'P 1'
_symmetry_Int_Tables_number 1
_cell_length_a 3.197
_cell_length_b 3.921
_cell_length_c 7.830
_cell_angle_alpha 90.00
_cell_angle_beta 100.56
_cell_angle_gamma 90.00
loop_
_symmetry_equiv_pos_as_xyz
'x,y,z'
loop_
_atom_site_label
_atom_site_fract_x
_atom_site_fract_y
_atom_site_fract_z
Li1 0.000 0.000 0.000
P1 0.537 0.500 0.087
Pb1 0.370 0.500 0.716
Pb2 0.675 0.000 0.367

***

[7]
# PBE-GGA Tm4In3Te8, relaxed
# Space group: C2/m (12)
# Raw formation energy (eV/atom): -0.9158
# ρ (g/cm3): 6.8
# N(E_F) (states/eV/f.u.): 5.9
# Magnetization (μB per formula unit): 0.0
data_Tm4In3Te8
_symmetry_space_group_name_H-M 'P 1'
_symmetry_Int_Tables_number 1
_cell_length_a 8.865
_cell_length_b 8.865
_cell_length_c 8.717
_cell_angle_alpha 119.32
_cell_angle_beta 119.32
_cell_angle_gamma 89.57
loop_
_symmetry_equiv_pos_as_xyz
'x,y,z'
loop_
_atom_site_label
_atom_site_fract_x
_atom_site_fract_y
_atom_site_fract_z
Tm1 0.000 0.000 0.000
Tm2 0.000 0.000 0.500
Tm3 0.000 0.500 0.000
Tm4 0.500 0.000 0.000
In1 0.000 0.500 0.500
In2 0.500 0.000 0.500
In3 0.500 0.500 0.500
Te1 0.231 0.231 0.482
Te2 0.241 0.241 0.987
Te3 0.243 0.757 0.500
Te4 0.248 0.752 0.000
Te5 0.752 0.248 0.000
Te6 0.757 0.243 0.500
Te7 0.759 0.759 0.013
Te8 0.769 0.769 0.518

***

[8]
# PBE-GGA PmNdI5, relaxed
# Space group: P2_1/m (11)
# Raw formation energy (eV/atom): -1.3760
# ρ (g/cm3): 5.1
# N(E_F) (states/eV/f.u.): 1.9
# Magnetization (μB per formula unit): 1.0
data_PmNdI5
_symmetry_space_group_name_H-M 'P 1'
_symmetry_Int_Tables_number 1
_cell_length_a 9.414
_cell_length_b 4.309
_cell_length_c 14.895
_cell_angle_alpha 90.00
_cell_angle_beta 94.87
_cell_angle_gamma 90.00
loop_
_symmetry_equiv_pos_as_xyz
'x,y,z'
loop_
_atom_site_label
_atom_site_fract_x
_atom_site_fract_y
_atom_site_fract_z
Pm1 0.086 0.250 0.158
Pm2 0.914 0.750 0.842
Nd1 0.394 0.750 0.350
Nd2 0.606 0.250 0.650
I1 0.132 0.250 0.787
I2 0.149 0.250 0.375
I3 0.178 0.750 0.016
I4 0.368 0.750 0.572
I5 0.430 0.250 0.192
I6 0.570 0.750 0.808
I7 0.632 0.250 0.428
I8 0.822 0.250 0.984
I9 0.851 0.750 0.625
I10 0.868 0.750 0.213

***

[9]
# PBE-GGA Tl2InRu, relaxed
# ΔE to the lowest computed polymorph (kcal/mol of atoms): 8.37
# Space group: C2/m (12)
# ρ (g/cm3): 11.6
# N(E_F) (states/eV/f.u.): 3.3
# Formation energy from the elements (eV per atom): 0.55
# Magnetization (μB per formula unit): 0.3
data_Tl2InRu
_symmetry_space_group_name_H-M 'P 1'
_symmetry_Int_Tables_number 1
_cell_length_a 6.137
_cell_length_b 10.203
_cell_length_c 3.463
_cell_angle_alpha 90.00
_cell_angle_beta 124.12
_cell_angle_gamma 90.00
loop_
_symmetry_equiv_pos_as_xyz
'x,y,z'
loop_
_atom_site_label
_atom_site_fract_x
_atom_site_fract_y
_atom_site_fract_z
Tl1 0.250 0.250 0.000
Tl2 0.250 0.750 0.000
Tl3 0.750 0.250 0.000
Tl4 0.750 0.750 0.000
In1 0.000 0.000 0.500
In2 0.500 0.500 0.500
Ru1 0.000 0.500 0.500
Ru2 0.500 0.000 0.500

***

[10]
# PBE-GGA CaDyAgAu, relaxed
# Space group: F-43m (216)
# ρ (g/cm3): 8.9
# N(E_F) (states/eV/f.u.): 3.4
# Formation energy from the elements (eV per atom): -0.56
# Magnetization (μB per formula unit): 0.0
data_CaDyAgAu
_symmetry_space_group_name_H-M 'P 1'
_symmetry_Int_Tables_number 1
_cell_length_a 7.248
_cell_length_b 7.248
_cell_length_c 7.248
_cell_angle_alpha 90.00
_cell_angle_beta 90.00
_cell_angle_gamma 90.00
loop_
_symmetry_equiv_pos_as_xyz
'x,y,z'
loop_
_atom_site_label
_atom_site_fract_x
_atom_site_fract_y
_atom_site_fract_z
Ca1 0.000 0.000 0.000
Ca2 0.000 0.500 0.500
Ca3 0.500 0.000 0.500
Ca4 0.500 0.500 0.000
Dy1 0.000 0.000 0.500
Dy2 0.000 0.500 0.000
Dy3 0.500 0.000 0.000
Dy4 0.500 0.500 0.500
Ag1 0.250 0.250 0.750
Ag2 0.250 0.750 0.250
Ag3 0.750 0.250 0.250
Ag4 0.750 0.750 0.750
Au1 0.250 0.250 0.250
Au2 0.250 0.750 0.750
Au3 0.750 0.250 0.750
Au4 0.750 0.750 0.250

***

[11]
# PBE-GGA Mn3Ni12Sb, relaxed
# Space group: P4/mmm (123)
# Raw formation energy (eV/atom): -0.1109
# ρ (g/cm3): 8.7
# N(E_F) (states/eV/f.u.): 15.2
# Magnetization (μB per formula unit): 15.1
data_Mn3Ni12Sb
_symmetry_space_group_name_H-M 'P 1'
_symmetry_Int_Tables_number 1
_cell_length_a 3.620
_cell_length_b 3.620
_cell_length_c 14.372
_cell_angle_alpha 90.00
_cell_angle_beta 90.00
_cell_angle_gamma 90.00
loop_
_symmetry_equiv_pos_as_xyz
'x,y,z'
loop_
_atom_site_label
_atom_site_fract_x
_atom_site_fract_y
_atom_site_fract_z
Mn1 0.000 0.000 0.000
Mn2 0.000 0.000 0.244
Mn3 0.000 0.000 0.756
Ni1 0.000 0.500 0.122
Ni2 0.000 0.500 0.367
Ni3 0.000 0.500 0.633
Ni4 0.000 0.500 0.878
Ni5 0.500 0.000 0.122
Ni6 0.500 0.000 0.367
Ni7 0.500 0.000 0.633
Ni8 0.500 0.000 0.878
Ni9 0.500 0.500 0.000
Ni10 0.500 0.500 0.246
Ni11 0.500 0.500 0.500
Ni12 0.500 0.500 0.754
Sb1 0.000 0.000 0.500

***

[12]
# PBE-GGA Na3NdSm2Te6, relaxed
# Space group: C2/m (12)
# Raw formation energy (eV/atom): -1.3278
# ρ (g/cm3): 5.3
# Magnetization (μB per formula unit): 0.0
data_Na3NdSm2Te6
_symmetry_space_group_name_H-M 'P 1'
_symmetry_Int_Tables_number 1
_cell_length_a 7.828
_cell_length_b 7.828
_cell_length_c 8.007
_cell_angle_alpha 99.38
_cell_angle_beta 99.38
_cell_angle_gamma 120.01
loop_
_symmetry_equiv_pos_as_xyz
'x,y,z'
loop_
_atom_site_label
_atom_site_fract_x
_atom_site_fract_y
_atom_site_fract_z
Na1 0.000 0.000 0.000
Na2 0.334 0.666 0.000
Na3 0.666 0.334 0.000
Nd1 0.500 0.500 0.500
Sm1 0.167 0.833 0.500
Sm2 0.833 0.167 0.500
Te1 0.085 0.421 0.262
Te2 0.243 0.243 0.738
Te3 0.421 0.085 0.262
Te4 0.579 0.915 0.738
Te5 0.757 0.757 0.262
Te6 0.915 0.579 0.738

***

Q: Among the records above, which one has the lowest ρ?
A: PmNdI5

***

Q: The highest magnetization belongs to which entry?
A: Mn3Ni12Sb